# 1
Compound: Pm3Dy2In2
Source: Alexandria
Functional: PBE
Structure: relaxed

Unit cell a=3.5168 b=8.0323 c=8.7087 alpha=117.96 beta=101.65 gamma=90.00
Last column: nearest neighbours and their distance in Å.
Fractional positions:
Pm1 0.0000 0.5000 0.0000  4 Pm 3.21-3.52, 4 In 3.35, 2 Dy 3.37
Pm2 0.2103 0.7896 0.4206  5 Pm 3.21-3.52, 3 In 3.41-3.46, 3 Dy 3.55-3.57
Pm3 0.7897 0.2104 0.5794  5 Pm 3.21-3.52, 3 In 3.41-3.46, 3 Dy 3.55-3.57
Dy1 0.8699 0.7106 0.7399  4 In 3.29-3.43, 4 Pm 3.37-3.57, 2 Dy 3.52
Dy2 0.1301 0.2894 0.2601  4 In 3.29-3.43, 4 Pm 3.37-3.57, 2 Dy 3.52
In1 0.5668 0.8997 0.1335  4 Dy 3.29-3.43, 5 Pm 3.35-3.46, 3 In 3.36-3.52
In2 0.4332 0.1003 0.8665  4 Dy 3.29-3.43, 5 Pm 3.35-3.46, 3 In 3.36-3.52

Calculated values
For the energy above the most stable polymorph in this dataset, the calculation gives 38 meV per atom.

***

# 2
Compound: LaRhPb2
Source: Alexandria
Functional: PBE
Structure: relaxed

Unit cell a=6.2614 b=6.2614 c=6.2614 alpha=147.27 beta=128.55 gamma=62.33
Last column: nearest neighbours and their distance in Å.
Fractional positions:
La1 0.5000 0.0000 0.5000  4 Rh 3.24, 2 La 3.53, 8 Pb 3.53-3.57
Rh1 0.0000 0.5000 0.5000  4 Pb 2.87
Pb1 0.7891 0.7891 0.0000  2 Rh 2.87
Pb2 0.2109 0.2109 0.0000  2 Rh 2.87

***

# 3
Compound: Tb6GaHg2
Source: Alexandria
Functional: PBE
Structure: relaxed

Unit cell a=8.7122 b=8.7122 c=8.7122 alpha=110.60 beta=109.88 gamma=107.94
Last column: nearest neighbours and their distance in Å.
Fractional positions:
Tb1 0.5660 0.7394 0.8266  1 Ga 3.19, 3 Hg 3.21-3.32, 1 Tb 3.47
Tb2 0.4340 0.2606 0.1734  1 Ga 3.19, 3 Hg 3.21-3.32, 1 Tb 3.47
Tb3 0.0872 0.2606 0.8266  1 Ga 3.19, 3 Hg 3.21-3.32, 1 Tb 3.47
Tb4 0.9128 0.7394 0.1734  1 Ga 3.19, 3 Hg 3.21-3.32, 1 Tb 3.47
Tb5 0.8069 0.7436 0.5506  2 Hg 3.00-3.23, 2 Ga 3.09-3.19
Tb6 0.1931 0.2564 0.4494  2 Hg 3.00-3.23, 2 Ga 3.09-3.19
Tb7 0.1931 0.7436 0.9367  2 Hg 3.00-3.23, 2 Ga 3.09-3.19
Tb8 0.8069 0.2564 0.0633  2 Hg 3.00-3.23, 2 Ga 3.09-3.19
Tb9 0.7310 0.4017 0.6707  3 Hg 3.00-3.27, 1 Ga 3.24
Tb10 0.2690 0.5983 0.3293  3 Hg 3.00-3.27, 1 Ga 3.24
Tb11 0.2690 0.9397 0.6707  3 Hg 3.00-3.27, 1 Ga 3.24
Tb12 0.7310 0.0603 0.3293  3 Hg 3.00-3.27, 1 Ga 3.24
Ga1 0.0000 0.5000 0.5000  8 Tb 3.09-3.24
Ga2 0.0000 0.0000 0.0000  8 Tb 3.19, 2 Hg 3.52
Hg1 0.5000 0.3568 0.8568  1 Hg 2.84, 2 Tb 3.00
Hg2 0.5000 0.6432 0.1432  1 Hg 2.84, 2 Tb 3.00
Hg3 0.6486 0.0000 0.6486  1 Hg 2.97, 8 Tb 3.00-3.27
Hg4 0.3514 0.0000 0.3514  1 Hg 2.97, 8 Tb 3.00-3.27

***

# 4
Compound: SrCa2Tl2Pb2
Source: Alexandria
Functional: PBE
Structure: relaxed

Unit cell a=5.4352 b=5.4352 c=9.7806 alpha=73.87 beta=73.87 gamma=60.00
Last column: nearest neighbours and their distance in Å.
Fractional positions:
Sr1 0.0000 0.0000 0.0000  2 Ca 3.74, 6 Pb 3.75
Ca1 0.1347 0.1347 0.5959  3 Tl 3.28, 4 Pb 3.47-3.57, 3 Ca 3.61
Ca2 0.8653 0.8653 0.4041  3 Tl 3.28, 4 Pb 3.47-3.57, 3 Ca 3.61
Tl1 0.5661 0.5661 0.3018  3 Pb 3.23, 3 Ca 3.28
Tl2 0.4339 0.4339 0.6982  3 Pb 3.23, 3 Ca 3.28
Pb1 0.7403 0.7403 0.7792  3 Tl 3.23, 4 Ca 3.47-3.57
Pb2 0.2597 0.2597 0.2208  3 Tl 3.23, 4 Ca 3.47-3.57

***

# 5
Compound: ZrMoAs
Source: Alexandria
Functional: PBE
Structure: relaxed

Unit cell a=5.3475 b=5.3475 c=5.3475 alpha=143.59 beta=143.59 gamma=52.43
Last column: nearest neighbours and their distance in Å.
Fractional positions:
Mo1 0.3580 0.3580 0.0000  4 As 2.62
As1 0.9769 0.9769 0.0000  4 Mo 2.62
Zr1 0.6651 0.6651 0.0000  5 Mo 2.95-3.00, 5 As 2.97-2.99

***

# 6
Compound: La15Pr2Dy2
Source: Alexandria
Functional: PBE
Structure: relaxed

Unit cell a=9.0606 b=9.0606 c=9.0606 alpha=76.94 beta=76.94 gamma=76.94
Last column: nearest neighbours and their distance in Å.
Fractional positions:
La1 0.0000 0.5000 0.0000  8 La 3.53-3.58, 2 Dy 3.58
La2 0.0000 0.0000 0.5000  8 La 3.53-3.58, 2 Dy 3.58
La3 0.5000 0.0000 0.0000  8 La 3.53-3.58, 2 Dy 3.58
La4 0.2961 0.0000 0.7039  6 La 3.34-3.58, 2 Dy 3.73
La5 0.7039 0.2961 0.0000  6 La 3.34-3.58, 2 Dy 3.73
La6 0.0000 0.7039 0.2961  6 La 3.34-3.58, 2 Dy 3.73
La7 0.2961 0.7039 0.0000  6 La 3.34-3.58, 2 Dy 3.73
La8 0.0000 0.2961 0.7039  6 La 3.34-3.58, 2 Dy 3.73
La9 0.7039 0.0000 0.2961  6 La 3.34-3.58, 2 Dy 3.73
La10 0.3911 0.8329 0.3911  6 La 3.22-3.53
La11 0.3911 0.3911 0.8329  6 La 3.22-3.53
La12 0.8329 0.3911 0.3911  6 La 3.22-3.53
La13 0.6089 0.1671 0.6089  6 La 3.22-3.53
La14 0.6089 0.6089 0.1671  6 La 3.22-3.53
La15 0.1671 0.6089 0.6089  6 La 3.22-3.53
Pr1 0.6996 0.6996 0.6996  1 Dy 4.01, 15 La 4.03-4.19
Pr2 0.3004 0.3004 0.3004  1 Dy 4.01, 15 La 4.03-4.19
Dy1 0.9119 0.9119 0.9119  1 Dy 3.33, 9 La 3.58-3.73
Dy2 0.0881 0.0881 0.0881  1 Dy 3.33, 9 La 3.58-3.73

***

The calculation returns the following DFT total energy values, one per record and in order: -4.261; -5.262; -3.784; -2.841; -8.314; -4.672 eV/atom.
The calculation returns the following calculated formation energy values, one per record and in order: -0.128; -0.338; -0.294; -0.293; -0.304; 0.205 eV/atom.